# KTa2Fe, relaxed, DFT PBE
data_KTa2Fe
_chemical_formula_sum 'K2 Ta4 Fe2'
_symmetry_space_group_name_H-M 'I 4/m m m'
_symmetry_Int_Tables_number 139
_symmetry_space_group_name_Hall '-I 4 2'
_cell_length_a 3.9753
_cell_length_b 3.9753
_cell_length_c 10.1243
_cell_angle_alpha 90.00
_cell_angle_beta 90.00
_cell_angle_gamma 90.00
loop_
_atom_site_label
_atom_site_fract_x
_atom_site_fract_y
_atom_site_fract_z
K1 0.0000 0.0000 0.0000
Ta1 0.0000 0.5000 0.2500
Fe1 0.0000 0.0000 0.5000
# ΔE to the lowest computed polymorph = 915 meV/atom
# volume = 160.0 Å³/cell
# D(E_F) = 8.4 states/eV/cell
# energy of formation from the pure elements = 1.547 eV/atom